P:
This record from Alexandria describes a relaxed NpOs2W crystal. The functional is PBE-GGA.

M_tot = 0.58 μB per atom
Fermi-level density of states = 6.30 states/eV/cell
symmetry = No. 123

Lattice parameters (Å, degrees): 3.014 3.014 7.495 90.00 90.00 90.00
Site moments in Bohr magnetons follow the coordinates.
Atoms (fractional coordinates):
Np  0.500  0.500  0.500  2.87
W  0.500  0.500  0.000  -0.08
Os  0.000  0.000  0.782  -0.24
Os  0.000  0.000  0.218  -0.24

***

Q:
This record from Alexandria describes a relaxed NpOs2W crystal. The functional is PBE-GGA.

M_tot = 0.71 μB per atom
Fermi-level density of states = 6.15 states/eV/cell
symmetry = No. 166

Lattice parameters (Å, degrees): 2.798 2.798 9.831 81.82 81.82 60.00
Site moments in Bohr magnetons follow the coordinates.
Atoms (fractional coordinates):
W  0.500  0.500  0.500  0.03
Np  0.000  0.000  0.000  2.76
Os  0.758  0.758  0.727  0.01
Os  0.242  0.242  0.273  0.01

***

Here are the energies relative to the best structure, in kJ/mol of atoms: P 0.0; Q 11.4.

***

P:
This record from Alexandria describes a relaxed Np2ZnOs crystal. The functional is PBE-GGA.

M_tot = 1.88 μB per atom
Fermi-level density of states = 9.20 states/eV/cell
symmetry = No. 123

Lattice parameters (Å, degrees): 3.134 3.134 8.250 90.00 90.00 90.00
Site moments in Bohr magnetons follow the coordinates.
Atoms (fractional coordinates):
Os  0.500  0.500  0.000  -0.43
Np  0.000  0.000  0.773  3.72
Np  0.000  0.000  0.227  3.72
Zn  0.500  0.500  0.500  0.02

***

Q:
This record from Alexandria describes a relaxed Np2ZnOs crystal. The functional is PBE-GGA.

M_tot = 1.59 μB per atom
Fermi-level density of states = 9.16 states/eV/cell
symmetry = No. 123

Lattice parameters (Å, degrees): 4.203 4.208 4.208 90.00 90.00 90.00
Site moments in Bohr magnetons follow the coordinates.
Atoms (fractional coordinates):
Np  0.000  0.500  0.000  3.35
Np  0.000  0.000  0.500  3.35
Os  0.500  0.000  0.000  -0.55
Zn  0.500  0.500  0.500  -0.01

***

R:
This record from Alexandria describes a relaxed Np2ZnOs crystal. The functional is PBE-GGA.

M_tot = 1.51 μB per atom
Fermi-level density of states = 5.99 states/eV/cell
symmetry = No. 166

Lattice parameters (Å, degrees): 2.821 2.821 11.288 82.82 82.82 60.00
Site moments in Bohr magnetons follow the coordinates.
Atoms (fractional coordinates):
Np  0.907  0.907  0.278  3.02
Os  0.500  0.500  0.500  -0.09
Zn  0.000  0.000  0.000  0.01
Np  0.093  0.093  0.722  3.02

***

Here are the energies relative to the best structure, in kJ/mol of atoms: P 0.0; Q 4.3; R 24.2.

***

P:
This record from Alexandria describes a relaxed Zr2NpOs crystal. The functional is PBE-GGA.

M_tot = 0.99 μB per atom
Fermi-level density of states = 8.15 states/eV/cell
symmetry = No. 123

Lattice parameters (Å, degrees): 3.225 4.934 4.934 90.00 90.00 90.00
Site moments in Bohr magnetons follow the coordinates.
Atoms (fractional coordinates):
Os  0.500  0.000  0.000  -0.01
Zr  0.000  0.500  0.000  0.12
Zr  0.000  0.000  0.500  0.12
Np  0.500  0.500  0.500  3.49

***

Q:
This record from Alexandria describes a relaxed Zr2NpOs crystal. The functional is PBE-GGA.

M_tot = 1.02 μB per atom
Fermi-level density of states = 6.67 states/eV/cell
symmetry = No. 123

Lattice parameters (Å, degrees): 3.231 3.231 7.817 90.00 90.00 90.00
Site moments in Bohr magnetons follow the coordinates.
Atoms (fractional coordinates):
Os  0.500  0.500  0.000  0.03
Np  0.500  0.500  0.500  3.65
Zr  0.000  0.000  0.786  0.05
Zr  0.000  0.000  0.214  0.05

***

Here are the energies relative to the best structure, in kJ/mol of atoms: P 17.0; Q 0.0.

***

P:
This record from Alexandria describes a relaxed ZrNpOs2 crystal. The functional is PBE-GGA.

M_tot = 0.73 μB per atom
Fermi-level density of states = 4.42 states/eV/cell
symmetry = No. 123

Lattice parameters (Å, degrees): 3.222 3.222 7.103 90.00 90.00 90.00
Site moments in Bohr magnetons follow the coordinates.
Atoms (fractional coordinates):
Np  0.500  0.500  0.500  3.16
Zr  0.500  0.500  0.000  0.12
Os  0.000  0.000  0.239  -0.29
Os  0.000  0.000  0.761  -0.29

***

Q:
This record from Alexandria describes a relaxed ZrNpOs2 crystal. The functional is PBE-GGA.

M_tot = 0.85 μB per atom
Fermi-level density of states = 3.68 states/eV/cell
symmetry = No. 225

Lattice parameters (Å, degrees): 4.719 4.719 4.719 60.00 60.00 60.00
Site moments in Bohr magnetons follow the coordinates.
Atoms (fractional coordinates):
Np  0.000  0.000  0.000  3.31
Os  0.750  0.750  0.750  -0.18
Os  0.250  0.250  0.250  -0.18
Zr  0.500  0.500  0.500  0.16

***

Here are the energies relative to the best structure, in kJ/mol of atoms: P 0.0; Q 3.2.

***

P:
This record from Alexandria describes a relaxed Np3P crystal. The functional is PBE-GGA.

M_tot = 1.37 μB per atom
symmetry = No. 221

Lattice parameters (Å, degrees): 4.150 4.150 4.150 90.00 90.00 90.00
Site moments in Bohr magnetons follow the coordinates.
Atoms (fractional coordinates):
P  0.000  0.000  0.000  -0.06
Np  0.000  0.500  0.500  1.85
Np  0.500  0.000  0.500  1.85
Np  0.500  0.500  0.000  1.85

***

Q:
This record from Alexandria describes a relaxed Np3P crystal. The functional is PBE-GGA.

M_tot = 0.71 μB per atom
symmetry = No. 139

Lattice parameters (Å, degrees): 4.184 4.184 5.021 114.62 114.62 90.00
Site moments in Bohr magnetons follow the coordinates.
Atoms (fractional coordinates):
Np  0.750  0.250  0.500  2.31
Np  0.250  0.750  0.500  2.31
Np  0.500  0.500  0.000  -1.79
P  0.000  0.000  0.000  -0.03

***

Here are the energies relative to the best structure, in kJ/mol of atoms: P 0.0; Q 1.8.

***

P:
This record from Alexandria describes a relaxed Np2P3 crystal. The functional is PBE-GGA.

M_tot = 0.13 μB per atom
Fermi-level density of states = 28.10 states/eV/cell
symmetry = No. 166

Lattice parameters (Å, degrees): 5.612 5.612 7.946 69.32 69.32 60.00
Site moments in Bohr magnetons follow the coordinates.
Atoms (fractional coordinates):
Np  0.115  0.115  0.654  3.28
P  0.374  0.939  0.313  -0.02
P  0.626  0.626  0.687  -0.02
Np  0.346  0.346  0.963  -3.73
Np  0.654  0.654  0.037  -3.73
P  0.626  0.061  0.687  -0.02
P  0.061  0.626  0.687  -0.02
P  0.374  0.374  0.313  -0.02
P  0.939  0.374  0.313  -0.02
Np  0.885  0.885  0.346  3.28

***

Q:
This record from Alexandria describes a relaxed Np2P3 crystal. The functional is PBE-GGA.

M_tot = 1.22 μB per atom
Fermi-level density of states = 30.66 states/eV/cell
symmetry = No. 72

Lattice parameters (Å, degrees): 5.379 7.330 7.091 121.12 112.29 90.00
Site moments in Bohr magnetons follow the coordinates.
Atoms (fractional coordinates):
P  0.750  0.000  0.000  -0.11
Np  0.381  0.164  0.763  3.14
Np  0.619  0.836  0.237  3.14
P  0.140  0.794  0.280  -0.14
Np  0.881  0.599  0.763  3.14
P  0.860  0.206  0.720  -0.14
Np  0.119  0.401  0.237  3.14
P  0.640  0.486  0.280  -0.14
P  0.250  0.000  0.000  -0.11
P  0.360  0.514  0.720  -0.14

***

Here are the energies relative to the best structure, in kJ/mol of atoms: P 11.2; Q 0.0.

***

P:
This record from Alexandria describes a relaxed NpPaPS crystal. The functional is PBE-GGA.

M_tot = 1.03 μB per atom
Fermi-level density of states = 8.37 states/eV/cell
symmetry = No. 160

Lattice parameters (Å, degrees): 3.953 3.953 6.734 72.93 72.93 60.00
Site moments in Bohr magnetons follow the coordinates.
Atoms (fractional coordinates):
S  0.943  0.943  0.172  -0.06
Np  0.195  0.195  0.416  3.66
Pa  0.694  0.694  0.918  0.21
P  0.445  0.445  0.665  -0.06

***

Q:
This record from Alexandria describes a relaxed NpPaPS crystal. The functional is PBE-GGA.

M_tot = 1.57 μB per atom
Fermi-level density of states = 14.45 states/eV/cell
symmetry = No. 216

Lattice parameters (Å, degrees): 4.837 4.837 4.837 60.00 60.00 60.00
Site moments in Bohr magnetons follow the coordinates.
Atoms (fractional coordinates):
S  0.500  0.500  0.500  -0.08
Np  0.250  0.250  0.250  4.22
P  0.000  0.000  0.000  -0.09
Pa  0.750  0.750  0.750  1.46

***

Here are the energies relative to the best structure, in kJ/mol of atoms: P 0.0; Q 34.0.

***

P:
This record from Alexandria describes a relaxed NpP2Pb crystal. The functional is PBE-GGA.

M_tot = 0.75 μB per atom
Fermi-level density of states = 9.26 states/eV/cell
symmetry = No. 166

Lattice parameters (Å, degrees): 4.071 4.071 7.234 73.66 73.66 60.00
Site moments in Bohr magnetons follow the coordinates.
Atoms (fractional coordinates):
P  0.736  0.736  0.791  -0.11
P  0.264  0.264  0.209  -0.11
Pb  0.500  0.500  0.500  -0.02
Np  0.000  0.000  0.000  3.24

***

Q:
This record from Alexandria describes a relaxed NpP2Pb crystal. The functional is PBE-GGA.

M_tot = 0.75 μB per atom
Fermi-level density of states = 9.14 states/eV/cell
symmetry = No. 160

Lattice parameters (Å, degrees): 4.140 4.140 7.075 72.99 72.99 60.00
Site moments in Bohr magnetons follow the coordinates.
Atoms (fractional coordinates):
Np  0.667  0.667  0.998  3.25
P  0.270  0.270  0.191  -0.15
Pb  0.492  0.492  0.525  -0.01
P  0.071  0.071  0.786  -0.09

***

Here are the energies relative to the best structure, in kJ/mol of atoms: P 0.0; Q 4.7.